# 1
{"formula": "CaTaTc2", "functional": "PBE", "state": "relaxed", "volume_a3_per_atom": 17.497, "ef_ev_per_atom": 0.41, "de_polymorph_ev_per_atom": 0.230, "lattice_angstrom": [[4.7093, 0.0000, 0.0000], [0.0000, 4.7093, 0.0000], [0.0000, 0.0000, 3.1558]], "species": ["Ca", "Ta", "Tc", "Tc"], "fractional_positions": [[0.0000, 0.0000, 0.0000], [0.5000, 0.5000, 0.0000], [0.0000, 0.5000, 0.5000], [0.5000, 0.0000, 0.5000]]}

=====

# 2
{"formula": "ScAsRuBr2", "functional": "PBE", "state": "relaxed", "volume_a3_per_atom": 28.293, "de_polymorph_ev_per_atom": 0.173, "lattice_angstrom": [[5.0965, 0.0000, 0.0000], [0.0000, 5.0965, 0.0000], [0.0000, 0.0000, 5.4463]], "species": ["Sc", "As", "Ru", "Br", "Br"], "fractional_positions": [[0.0000, 0.0000, 0.0000], [0.0000, 0.0000, 0.5000], [0.5000, 0.5000, 0.5000], [0.0000, 0.5000, 0.0000], [0.5000, 0.0000, 0.0000]]}

=====

# 3
{"formula": "ReAu2Cl", "functional": "PBE", "state": "relaxed", "volume_a3_per_atom": 18.411, "de_polymorph_ev_per_atom": 0.707, "lattice_angstrom": [[-2.3274, 2.3274, 3.3988], [2.3274, -2.3274, 3.3988], [2.3274, 2.3274, -3.3988]], "species": ["Re", "Au", "Au", "Cl"], "fractional_positions": [[0.0000, 0.0000, 0.0000], [0.2500, 0.7500, 0.5000], [0.5000, 0.5000, 0.0000], [0.7500, 0.2500, 0.5000]]}

=====

# 4
{"formula": "Ba2Ga7Ir", "functional": "PBE", "state": "relaxed", "volume_a3_per_atom": 22.465, "ef_ev_per_atom": -0.40, "lattice_angstrom": [[4.5386, 0.0000, 0.0000], [0.0000, 4.5386, 0.0000], [0.0000, 0.0000, 10.9062]], "species": ["Ba", "Ba", "Ga", "Ga", "Ga", "Ga", "Ga", "Ga", "Ga", "Ir"], "fractional_positions": [[0.0000, 0.5000, 0.2442], [0.5000, 0.0000, 0.7558], [0.0000, 0.0000, 0.0000], [0.0000, 0.0000, 0.5000], [0.0000, 0.5000, 0.6329], [0.0000, 0.5000, 0.8843], [0.5000, 0.0000, 0.1157], [0.5000, 0.0000, 0.3671], [0.5000, 0.5000, 0.5000], [0.5000, 0.5000, 0.0000]]}

=====

# 5
{"formula": "MnAsSe2", "functional": "PBE", "state": "relaxed", "volume_a3_per_atom": 22.903, "total_energy_ev_per_cell": -39.5, "lattice_angstrom": [[-3.0352, 3.0352, 4.9724], [3.0352, -3.0352, 4.9724], [3.0352, 3.0352, -4.9724]], "species": ["Mn", "Mn", "As", "As", "Se", "Se", "Se", "Se"], "fractional_positions": [[0.0000, 0.0000, 0.0000], [0.7500, 0.2500, 0.5000], [0.2500, 0.7500, 0.5000], [0.5000, 0.5000, 0.0000], [0.0657, 0.6250, 0.9407], [0.3750, 0.3157, 0.4407], [0.6843, 0.1250, 0.0593], [0.8750, 0.9343, 0.5593]]}

=====

# 6
{"formula": "HfBr2Cl6", "functional": "PBE", "state": "relaxed", "volume_a3_per_atom": 39.490, "total_energy_ev_per_cell": -66.9, "lattice_angstrom": [[7.8873, -6.5587, 0.0000], [7.8873, 6.5587, 0.0000], [-1.4579, 0.0000, 6.8704]], "species": ["Hf", "Hf", "Br", "Br", "Br", "Br", "Cl", "Cl", "Cl", "Cl", "Cl", "Cl", "Cl", "Cl", "Cl", "Cl", "Cl", "Cl"], "fractional_positions": [[0.0802, 0.9198, 0.7500], [0.9198, 0.0802, 0.2500], [0.3645, 0.3647, 0.0506], [0.3647, 0.3645, 0.5506], [0.6353, 0.6355, 0.4494], [0.6355, 0.6353, 0.9494], [0.0139, 0.1473, 0.6043], [0.0886, 0.7001, 0.7983], [0.1473, 0.0139, 0.1043], [0.2405, 0.4889, 0.3003], [0.2999, 0.9114, 0.7017], [0.4889, 0.2405, 0.8003], [0.5111, 0.7595, 0.1997], [0.7001, 0.0886, 0.2983], [0.7595, 0.5111, 0.6997], [0.8527, 0.9861, 0.8957], [0.9114, 0.2999, 0.2017], [0.9861, 0.8527, 0.3957]]}

=====

# 7
{"formula": "Pu3Pa5Sb8", "functional": "PBE", "state": "relaxed", "volume_a3_per_atom": 29.797, "total_energy_ev_per_cell": -131.8, "lattice_angstrom": [[4.3799, 2.5287, 7.1743], [-4.3799, 2.5287, 7.1743], [0.0000, -5.0575, 7.1743]], "species": ["Pu", "Pu", "Pu", "Pa", "Pa", "Pa", "Pa", "Pa", "Sb", "Sb", "Sb", "Sb", "Sb", "Sb", "Sb", "Sb"], "fractional_positions": [[0.0000, 0.5000, 0.5000], [0.5000, 0.0000, 0.5000], [0.5000, 0.5000, 0.0000], [0.0000, 0.0000, 0.0000], [0.0000, 0.0000, 0.5000], [0.0000, 0.5000, 0.0000], [0.5000, 0.0000, 0.0000], [0.5000, 0.5000, 0.5000], [0.2483, 0.7500, 0.7500], [0.2489, 0.2489, 0.2489], [0.2500, 0.2500, 0.7517], [0.2500, 0.7517, 0.2500], [0.7500, 0.2483, 0.7500], [0.7500, 0.7500, 0.2483], [0.7511, 0.7511, 0.7511], [0.7517, 0.2500, 0.2500]]}

=====

# 8
{"formula": "RbTaSe3", "functional": "PBE", "state": "relaxed", "volume_a3_per_atom": 31.867, "total_energy_ev_per_cell": -13.3, "lattice_angstrom": [[5.4213, 0.0000, 0.0000], [0.0000, 5.4213, 0.0000], [0.0000, 0.0000, 5.4213]], "species": ["Rb", "Ta", "Se", "Se", "Se"], "fractional_positions": [[0.0000, 0.0000, 0.0000], [0.5000, 0.5000, 0.5000], [0.0000, 0.0000, 0.5000], [0.0000, 0.5000, 0.0000], [0.5000, 0.0000, 0.0000]]}

=====

# 9
{"formula": "Mg2Mo", "functional": "PBE", "state": "relaxed", "volume_a3_per_atom": 19.158, "ef_ev_per_atom": 0.22, "de_polymorph_ev_per_atom": 0.000, "lattice_angstrom": [[6.7573, 0.0000, 0.0000], [0.0000, 3.3675, 0.0000], [0.0000, 0.0000, 10.1031]], "species": ["Mg", "Mg", "Mg", "Mg", "Mg", "Mg", "Mg", "Mg", "Mo", "Mo", "Mo", "Mo"], "fractional_positions": [[0.1384, 0.2500, 0.2408], [0.1398, 0.2500, 0.9238], [0.3602, 0.7500, 0.4238], [0.3616, 0.7500, 0.7408], [0.6384, 0.2500, 0.2592], [0.6398, 0.2500, 0.5762], [0.8602, 0.7500, 0.0762], [0.8616, 0.7500, 0.7592], [0.0843, 0.2500, 0.5699], [0.4157, 0.7500, 0.0699], [0.5843, 0.2500, 0.9301], [0.9157, 0.7500, 0.4301]]}

=====

# 10
{"formula": "Li3Dy3PuSe8", "functional": "PBE", "state": "relaxed", "volume_a3_per_atom": 25.041, "total_energy_ev_per_cell": -85.5, "lattice_angstrom": [[4.0881, 2.3603, 6.4882], [-4.0881, 2.3603, 6.4882], [0.0000, -4.7205, 6.4882]], "species": ["Li", "Li", "Li", "Dy", "Dy", "Dy", "Pu", "Se", "Se", "Se", "Se", "Se", "Se", "Se", "Se"], "fractional_positions": [[0.0000, 0.5000, 0.5000], [0.5000, 0.0000, 0.5000], [0.5000, 0.5000, 0.0000], [0.0000, 0.0000, 0.5000], [0.0000, 0.5000, 0.0000], [0.5000, 0.0000, 0.0000], [0.5000, 0.5000, 0.5000], [0.2510, 0.2510, 0.2510], [0.2529, 0.2529, 0.7463], [0.2529, 0.7463, 0.2529], [0.2537, 0.7471, 0.7471], [0.7463, 0.2529, 0.2529], [0.7471, 0.2537, 0.7471], [0.7471, 0.7471, 0.2537], [0.7490, 0.7490, 0.7490]]}

=====

# 11
{"formula": "Ba3ScRh2O9", "functional": "PBE", "state": "relaxed", "volume_a3_per_atom": 13.763, "total_energy_ev_per_cell": -102.0, "lattice_angstrom": [[5.7942, 0.0000, 0.0000], [-2.8971, 5.0179, 0.0000], [0.0000, 0.0000, 7.1004]], "species": ["Ba", "Ba", "Ba", "Sc", "Rh", "Rh", "O", "O", "O", "O", "O", "O", "O", "O", "O"], "fractional_positions": [[0.0000, 0.0000, 0.0000], [0.3333, 0.6667, 0.6704], [0.6667, 0.3333, 0.3296], [0.0000, 0.0000, 0.5000], [0.3333, 0.6667, 0.1666], [0.6667, 0.3333, 0.8334], [0.0000, 0.5000, 0.0000], [0.1715, 0.3430, 0.3282], [0.1715, 0.8285, 0.3282], [0.3430, 0.1715, 0.6718], [0.5000, 0.0000, 0.0000], [0.5000, 0.5000, 0.0000], [0.6570, 0.8285, 0.3282], [0.8285, 0.1715, 0.6718], [0.8285, 0.6570, 0.6718]]}

=====

# 12
{"formula": "LaFeC", "functional": "PBE", "state": "relaxed", "volume_a3_per_atom": 15.042, "ef_ev_per_atom": 0.11, "de_polymorph_ev_per_atom": 0.281, "lattice_angstrom": [[3.3695, 0.0000, 0.0000], [-1.6848, 2.9181, 0.0000], [0.0000, 0.0000, 4.5893]], "species": ["La", "Fe", "C"], "fractional_positions": [[0.0000, 0.0000, 0.0000], [0.6667, 0.3333, 0.5000], [0.3333, 0.6667, 0.5000]]}

=====

# 13
{"formula": "Tb4FePd", "functional": "PBE", "state": "relaxed", "volume_a3_per_atom": 25.070, "ef_ev_per_atom": -0.28, "lattice_angstrom": [[4.4125, -6.4890, 0.0000], [4.4125, 6.4890, 0.0000], [-3.2550, 0.0000, 5.2535]], "species": ["Tb", "Tb", "Tb", "Tb", "Tb", "Tb", "Tb", "Tb", "Fe", "Fe", "Pd", "Pd"], "fractional_positions": [[0.0543, 0.7054, 0.9088], [0.2244, 0.3536, 0.7057], [0.2946, 0.9457, 0.5912], [0.3536, 0.2244, 0.2057], [0.6464, 0.7756, 0.7943], [0.7054, 0.0543, 0.4088], [0.7756, 0.6464, 0.2943], [0.9457, 0.2946, 0.0912], [0.0027, 0.9973, 0.2500], [0.9973, 0.0027, 0.7500], [0.3652, 0.6348, 0.2500], [0.6348, 0.3652, 0.7500]]}

=====

# 14
{"formula": "ErVTc4", "functional": "PBE", "state": "relaxed", "volume_a3_per_atom": 16.861, "ef_ev_per_atom": 0.06, "lattice_angstrom": [[0.0000, 3.6983, 3.6983], [3.6983, 0.0000, 3.6983], [3.6983, 3.6983, 0.0000]], "species": ["Er", "V", "Tc", "Tc", "Tc", "Tc"], "fractional_positions": [[0.0000, 0.0000, 0.0000], [0.7500, 0.7500, 0.7500], [0.3754, 0.3754, 0.3754], [0.3754, 0.3754, 0.8739], [0.3754, 0.8739, 0.3754], [0.8739, 0.3754, 0.3754]]}

=====

# 15
{"formula": "LiScSbPb2", "functional": "PBE", "state": "relaxed", "volume_a3_per_atom": 33.178, "total_energy_ev_per_cell": -17.2, "lattice_angstrom": [[5.5797, 0.0000, 0.0000], [0.0000, 5.5797, 0.0000], [0.0000, 0.0000, 5.3285]], "species": ["Li", "Sc", "Sb", "Pb", "Pb"], "fractional_positions": [[0.0000, 0.0000, 0.0000], [0.0000, 0.0000, 0.5000], [0.5000, 0.5000, 0.0000], [0.0000, 0.5000, 0.5000], [0.5000, 0.0000, 0.5000]]}

=====

# 16
{"formula": "AgHgBr4", "functional": "PBE", "state": "relaxed", "volume_a3_per_atom": 33.037, "de_polymorph_ev_per_atom": 0.000, "lattice_angstrom": [[7.1770, -1.9515, 0.0000], [7.1770, 1.9515, 0.0000], [-3.1351, 0.0000, 7.0764]], "species": ["Ag", "Hg", "Br", "Br", "Br", "Br"], "fractional_positions": [[0.0000, 0.0000, 0.0000], [0.5000, 0.5000, 0.5000], [0.1248, 0.1248, 0.4633], [0.3847, 0.3847, 0.0378], [0.6153, 0.6153, 0.9622], [0.8752, 0.8752, 0.5367]]}

=====

# 17
{"formula": "Rb3Sm2PbSe6", "functional": "PBE", "state": "relaxed", "volume_a3_per_atom": 32.898, "total_energy_ev_per_cell": -53.4, "lattice_angstrom": [[3.7661, -6.5226, 0.0000], [3.7661, 6.5226, 0.0000], [-2.5066, 0.0000, 8.0356]], "species": ["Rb", "Rb", "Rb", "Sm", "Sm", "Pb", "Se", "Se", "Se", "Se", "Se", "Se"], "fractional_positions": [[0.0000, 0.0000, 0.0000], [0.3358, 0.6642, 0.0000], [0.6642, 0.3358, 0.0000], [0.1669, 0.8331, 0.5000], [0.8331, 0.1669, 0.5000], [0.5000, 0.5000, 0.5000], [0.0927, 0.4330, 0.2992], [0.2262, 0.2262, 0.7003], [0.4330, 0.0927, 0.2992], [0.5670, 0.9073, 0.7008], [0.7738, 0.7738, 0.2997], [0.9073, 0.5670, 0.7008]]}

=====

# 18
{"formula": "Li2NpAgBr6", "functional": "PBE", "state": "relaxed", "volume_a3_per_atom": 29.284, "total_energy_ev_per_cell": -82.4, "lattice_angstrom": [[7.2129, 0.0000, 0.0000], [0.0000, 7.2254, 0.0000], [-7.0890, 0.0000, 11.2380]], "species": ["Li", "Li", "Li", "Li", "Np", "Np", "Ag", "Ag", "Br", "Br", "Br", "Br", "Br", "Br", "Br", "Br", "Br", "Br", "Br", "Br"], "fractional_positions": [[0.2055, 0.0062, 0.2381], [0.2055, 0.4938, 0.7381], [0.7945, 0.5062, 0.2619], [0.7945, 0.9938, 0.7619], [0.5000, 0.0000, 0.0000], [0.5000, 0.5000, 0.5000], [0.0000, 0.0000, 0.5000], [0.0000, 0.5000, 0.0000], [0.1350, 0.1338, 0.7687], [0.1350, 0.3662, 0.2687], [0.2171, 0.6737, 0.5659], [0.2171, 0.8263, 0.0659], [0.4468, 0.1640, 0.5961], [0.4468, 0.3360, 0.0961], [0.5532, 0.6640, 0.9039], [0.5532, 0.8360, 0.4039], [0.7829, 0.1737, 0.9341], [0.7829, 0.3263, 0.4341], [0.8650, 0.6338, 0.7313], [0.8650, 0.8662, 0.2313]]}

=====

# 19
{"formula": "NaHoO2", "functional": "PBE", "state": "relaxed", "volume_a3_per_atom": 14.470, "total_energy_ev_per_cell": -26.8, "lattice_angstrom": [[1.6920, 0.9769, 5.8363], [-1.6920, 0.9769, 5.8363], [0.0000, -1.9538, 5.8363]], "species": ["Na", "Ho", "O", "O"], "fractional_positions": [[0.0000, 0.0000, 0.0000], [0.1736, 0.1736, 0.1736], [0.5762, 0.5762, 0.5762], [0.7736, 0.7736, 0.7736]]}

=====

# 20
{"formula": "Ca2ZnHAu", "functional": "PBE", "state": "relaxed", "volume_a3_per_atom": 20.045, "de_polymorph_ev_per_atom": 0.036, "lattice_angstrom": [[5.1428, 0.0000, 0.0000], [0.0000, 5.1428, 0.0000], [0.0000, 0.0000, 3.7894]], "species": ["Ca", "Ca", "Zn", "H", "Au"], "fractional_positions": [[0.0000, 0.5000, 0.0000], [0.5000, 0.0000, 0.0000], [0.0000, 0.0000, 0.5000], [0.5000, 0.5000, 0.0000], [0.5000, 0.5000, 0.5000]]}